# 1
Here is KLiTa3 after structural relaxation from Alexandria via LeMat-Bulk. Energies are from PBE-GGA.

Lattice parameters (Å, degrees): 4.681 4.681 4.681 90.00 90.00 90.00
Element x y z (fractional)
1 K 0.000 0.000 0.000
2 Li 0.500 0.500 0.500
3 Ta 0.000 0.000 0.500
4 Ta 0.000 0.500 0.000
5 Ta 0.500 0.000 0.000

Properties
Space-group type: Pm-3m, No. 221
Calculated formation energy in eV per formula unit: 14.88

=====

# 2
Here is Zr3TcSe after structural relaxation from Alexandria via LeMat-Bulk. Energies are from PBE-GGA.

Lattice parameters (Å, degrees): 4.920 4.920 4.920 90.00 90.00 90.00
Element x y z (fractional)
1 Zr 0.000 0.000 0.500
2 Zr 0.000 0.500 0.000
3 Zr 0.500 0.000 0.000
4 Tc 0.500 0.500 0.500
5 Se 0.000 0.000 0.000

Properties
Space-group type: Pm-3m, No. 221
E_form (uncorrected) in eV per formula unit: 1.81

=====

Number 1: DOS at the Fermi energy 1.644 states/eV per atom, energy relative to the lowest polymorph listed for this composition 1069 meV per atom. Number 2: DOS at the Fermi energy 0.823 states/eV per atom, energy relative to the lowest polymorph listed for this composition 45 meV per atom.